A plane-wave DFT calculation with PBE-GGA was carried out for an optimized crystal structure of Rb3PdBr6.

abc: 7.5685 7.5685 24.2523
angles: 90.00 90.00 120.00
Space group R-3m (No. 166, hexagonal axes)
One atom of each set of equivalent atoms:
Rb 0.0000 0.0000 0.0000 (multiplicity 3)
Rb 0.0000 0.0000 0.2145 (multiplicity 6)
Pd 0.0000 0.0000 0.5000 (multiplicity 3)
Br 0.0125 0.5063 0.2287 (multiplicity 18)

- excess energy over the best structure of this formula in the dataset (meV/atom) = 0



A plane-wave DFT calculation with PBE-GGA was carried out for an optimized crystal structure of Rb2SrPdBr6.

abc: 11.2458 11.2458 11.2458
angles: 90.00 90.00 90.00
Space group Fm-3m (No. 225)
One atom of each set of equivalent atoms:
Rb 0.2500 0.2500 0.2500 (multiplicity 8)
Sr 0.0000 0.0000 0.0000 (multiplicity 4)
Pd 0.0000 0.0000 0.5000 (multiplicity 4)
Br 0.0000 0.0000 0.2641 (multiplicity 24)

- total energy (eV per atom) = -3.198



A plane-wave DFT calculation with PBE-GGA was carried out for an optimized crystal structure of RbTlPdBr4.

abc: 4.4451 7.5090 7.6041
angles: 90.00 90.00 90.00
Space group Pmmm (No. 47)
One atom of each set of equivalent atoms:
Rb 0.0000 0.0000 0.0000 (multiplicity 1)
Tl 0.0000 0.5000 0.5000 (multiplicity 1)
Pd 0.5000 0.0000 0.5000 (multiplicity 1)
Br 0.5000 0.2348 0.2714 (multiplicity 4)

- total energy (eV per atom) = -3.081



A plane-wave DFT calculation with PBE-GGA was carried out for an optimized crystal structure of Rb2ZrPdBr6.

abc: 10.9392 10.9392 10.9392
angles: 90.00 90.00 90.00
Space group Fm-3m (No. 225)
One atom of each set of equivalent atoms:
Rb 0.2500 0.2500 0.2500 (multiplicity 8)
Zr 0.0000 0.0000 0.0000 (multiplicity 4)
Pd 0.0000 0.0000 0.5000 (multiplicity 4)
Br 0.0000 0.0000 0.2444 (multiplicity 24)

- total energy (eV per atom) = -3.808



A plane-wave DFT calculation with PBE-GGA was carried out for an optimized crystal structure of PdSBr.

abc: 11.6271 3.4944 9.6489
angles: 90.00 115.34 90.00
Space group C2/m (No. 12)
One atom of each set of equivalent atoms:
Pd 0.1925 0.0000 0.1545 (multiplicity 4)
S 0.0877 0.5000 0.9906 (multiplicity 4)
Br 0.1811 0.0000 0.6554 (multiplicity 4)

- total energy (eV per atom) = -3.957



A plane-wave DFT calculation with PBE-GGA was carried out for an optimized crystal structure of Pd3S4Br2.

abc: 4.6308 7.2652 8.2214
angles: 112.72 103.41 92.86
Space group P-1 (No. 2)
One atom of each set of equivalent atoms:
Pd 0.0000 0.0000 0.0000 (multiplicity 1)
Pd 0.4919 0.0160 0.2435 (multiplicity 2)
S 0.2578 0.7736 0.3033 (multiplicity 2)
S 0.4163 0.2506 0.5088 (multiplicity 2)
Br 0.2559 0.7266 0.8465 (multiplicity 2)

- total energy (eV per atom) = -3.985



A plane-wave DFT calculation with PBE-GGA was carried out for an optimized crystal structure of PdSe2S4Br2.

abc: 4.7119 7.4021 7.7861
angles: 65.62 87.50 81.84
Space group P-1 (No. 2)
One atom of each set of equivalent atoms:
Pd 0.0000 0.0000 0.0000 (multiplicity 1)
Se 0.0704 0.5244 0.7503 (multiplicity 2)
S 0.1216 0.7310 0.2864 (multiplicity 2)
S 0.1375 0.2269 0.5017 (multiplicity 2)
Br 0.3695 0.8227 0.8674 (multiplicity 2)

- excess energy over the best structure of this formula in the dataset (meV/atom) = 7



A plane-wave DFT calculation with PBE-GGA was carried out for an optimized crystal structure of PdSe2S4Br2.

abc: 4.7336 7.4752 8.0407
angles: 65.09 84.67 82.51
Space group P-1 (No. 2)
One atom of each set of equivalent atoms:
Pd 0.0000 0.0000 0.0000 (multiplicity 1)
Se 0.1694 0.7318 0.2811 (multiplicity 2)
S 0.0306 0.5252 0.7355 (multiplicity 2)
S 0.1274 0.2389 0.4868 (multiplicity 2)
Br 0.3798 0.8409 0.8604 (multiplicity 2)

- excess energy over the best structure of this formula in the dataset (meV/atom) = 0



A plane-wave DFT calculation with PBE-GGA was carried out for an optimized crystal structure of PdSe2Br.

abc: 4.7319 3.8264 5.4249
angles: 90.00 105.87 90.00
Space group P2/m (No. 10)
One atom of each set of equivalent atoms:
Pd 0.0000 0.0000 0.0000 (multiplicity 1)
Se 0.3557 0.5000 0.1481 (multiplicity 2)
Br 0.0000 0.0000 0.5000 (multiplicity 1)

- total energy (eV per atom) = -3.716



A plane-wave DFT calculation with PBE-GGA was carried out for an optimized crystal structure of Tl3PdBr.

abc: 7.6334 7.6380 7.6386
angles: 90.00 119.97 119.98
Space group P1 (No. 1)
One atom of each set of equivalent atoms:
Tl 0.0000 0.0000 0.0000 (multiplicity 1)
Tl 0.0000 0.4944 0.4974 (multiplicity 1)
Tl 0.4950 0.9917 0.9995 (multiplicity 1)
Tl 0.4980 0.9991 0.5010 (multiplicity 1)
Tl 0.5024 0.4951 0.9969 (multiplicity 1)
Tl 0.5053 0.5032 0.4984 (multiplicity 1)
Pd 0.5000 0.2472 0.2490 (multiplicity 1)
Pd 0.5000 0.7472 0.7490 (multiplicity 1)
Br 0.9988 0.4982 0.0002 (multiplicity 1)
Br 0.9989 0.9950 0.5005 (multiplicity 1)

- total energy (eV per atom) = -3.163



A plane-wave DFT calculation with PBE-GGA was carried out for an optimized crystal structure of YTl2PdBr6.

abc: 11.0036 11.0036 11.0036
angles: 90.00 90.00 90.00
Space group Fm-3m (No. 225)
One atom of each set of equivalent atoms:
Y 0.0000 0.0000 0.0000 (multiplicity 4)
Tl 0.2500 0.2500 0.2500 (multiplicity 8)
Pd 0.0000 0.0000 0.5000 (multiplicity 4)
Br 0.0000 0.0000 0.2523 (multiplicity 24)

- total energy (eV per atom) = -3.640



A plane-wave DFT calculation with PBE-GGA was carried out for an optimized crystal structure of Tl2ZnPdBr6.

abc: 10.5210 10.5210 10.5210
angles: 90.00 90.00 90.00
Space group Fm-3m (No. 225)
One atom of each set of equivalent atoms:
Tl 0.2500 0.2500 0.2500 (multiplicity 8)
Zn 0.0000 0.0000 0.0000 (multiplicity 4)
Pd 0.0000 0.0000 0.5000 (multiplicity 4)
Br 0.0000 0.0000 0.2508 (multiplicity 24)

- total energy (eV per atom) = -2.709



A plane-wave DFT calculation with PBE-GGA was carried out for an optimized crystal structure of ZrTl2PdBr6.

abc: 10.8539 10.8539 10.8539
angles: 90.00 90.00 90.00
Space group Fm-3m (No. 225)
One atom of each set of equivalent atoms:
Zr 0.0000 0.0000 0.0000 (multiplicity 4)
Tl 0.2500 0.2500 0.2500 (multiplicity 8)
Pd 0.0000 0.0000 0.5000 (multiplicity 4)
Br 0.0000 0.0000 0.2453 (multiplicity 24)

- total energy (eV per atom) = -3.684



A plane-wave DFT calculation with PBE-GGA was carried out for an optimized crystal structure of Pd2WBr.

abc: 3.7636 3.7636 5.3343
angles: 90.00 90.00 90.00
Space group P4/mmm (No. 123)
One atom of each set of equivalent atoms:
Pd 0.0000 0.0000 0.0000 (multiplicity 1)
Pd 0.5000 0.5000 0.5000 (multiplicity 1)
W 0.0000 0.0000 0.5000 (multiplicity 1)
Br 0.5000 0.5000 0.0000 (multiplicity 1)

- total energy (eV per atom) = -5.279



A plane-wave DFT calculation with PBE-GGA was carried out for an optimized crystal structure of PmBr2.

abc: 8.8959 8.8959 8.8959
angles: 90.00 90.00 90.00
Space group Fd-3m (No. 227, origin choice 2)
One atom of each set of equivalent atoms:
Pm 0.1250 0.1250 0.1250 (multiplicity 8)
Br 0.0000 0.0000 0.5000 (multiplicity 16)

- excess energy over the best structure of this formula in the dataset (meV/atom) = 1341



A plane-wave DFT calculation with PBE-GGA was carried out for an optimized crystal structure of PmBr.

abc: 6.6545 6.6545 6.6545
angles: 90.00 90.00 90.00
Space group F-43m (No. 216)
One atom of each set of equivalent atoms:
Pm 0.0000 0.0000 0.0000 (multiplicity 4)
Br 0.2500 0.2500 0.2500 (multiplicity 4)

- excess energy over the best structure of this formula in the dataset (meV/atom) = 532



A plane-wave DFT calculation with PBE-GGA was carried out for an optimized crystal structure of PmBr.

abc: 3.6760 3.6760 4.5945
angles: 90.00 90.00 120.00
Space group P-6m2 (No. 187)
One atom of each set of equivalent atoms:
Pm 0.0000 0.0000 0.0000 (multiplicity 1)
Br 0.3333 0.6667 0.5000 (multiplicity 1)

- excess energy over the best structure of this formula in the dataset (meV/atom) = 0



A plane-wave DFT calculation with PBE-GGA was carried out for an optimized crystal structure of PmBr.

abc: 5.9822 5.9822 5.9822
angles: 90.00 90.00 90.00
Space group Fm-3m (No. 225)
One atom of each set of equivalent atoms:
Pm 0.0000 0.0000 0.0000 (multiplicity 4)
Br 0.0000 0.0000 0.5000 (multiplicity 4)

- excess energy over the best structure of this formula in the dataset (meV/atom) = 239



A plane-wave DFT calculation with PBE-GGA was carried out for an optimized crystal structure of PmBr2.

abc: 12.9154 12.9154 12.9154
angles: 90.00 90.00 90.00
Space group Fd-3m (No. 227, origin choice 2)
One atom of each set of equivalent atoms:
Pm 0.1250 0.1250 0.1250 (multiplicity 8)
Br 0.0000 0.0000 0.0000 (multiplicity 16)

- excess energy over the best structure of this formula in the dataset (meV/atom) = 381



A plane-wave DFT calculation with PBE-GGA was carried out for an optimized crystal structure of PmBr3.

abc: 7.4021 12.8376 6.9780
angles: 90.00 110.79 90.00
Space group C2/m (No. 12)
One atom of each set of equivalent atoms:
Pm 0.0000 0.1656 0.0000 (multiplicity 4)
Br 0.2208 0.0000 0.2546 (multiplicity 4)
Br 0.2381 0.1799 0.7515 (multiplicity 8)

- total energy (eV per atom) = -4.315



A plane-wave DFT calculation with PBE-GGA was carried out for an optimized crystal structure of PmSBr.

abc: 11.5357 13.4774 8.7646
angles: 90.00 90.00 90.00
Space group Fdd2 (No. 43)
One atom of each set of equivalent atoms:
Pm 0.0636 0.2685 0.0000 (multiplicity 16)
S 0.0200 0.3699 0.2746 (multiplicity 16)
Br 0.0817 0.3732 0.7011 (multiplicity 16)

- total energy (eV per atom) = -5.510



A plane-wave DFT calculation with PBE-GGA was carried out for an optimized crystal structure of Pm2SBr2.

abc: 4.0960 4.0960 31.7138
angles: 90.00 90.00 120.00
Space group R-3m (No. 166, hexagonal axes)
One atom of each set of equivalent atoms:
Pm 0.0000 0.0000 0.1195 (multiplicity 6)
S 0.0000 0.0000 0.5000 (multiplicity 3)
Br 0.0000 0.0000 0.2729 (multiplicity 6)

- total energy (eV per atom) = -5.295



A plane-wave DFT calculation with PBE-GGA was carried out for an optimized crystal structure of Pm2SbBr2.

abc: 4.3377 4.3377 32.5217
angles: 90.00 90.00 120.00
Space group R-3m (No. 166, hexagonal axes)
One atom of each set of equivalent atoms:
Pm 0.0000 0.0000 0.1118 (multiplicity 6)
Sb 0.0000 0.0000 0.5000 (multiplicity 3)
Br 0.0000 0.0000 0.2750 (multiplicity 6)

- total energy (eV per atom) = -4.919



A plane-wave DFT calculation with PBE-GGA was carried out for an optimized crystal structure of Pm7SeBr12.

abc: 14.9710 14.9710 9.9328
angles: 90.00 90.00 120.00
Space group R-3 (No. 148, hexagonal axes)
One atom of each set of equivalent atoms:
Pm 0.0000 0.0000 0.0000 (multiplicity 3)
Pm 0.0458 0.1663 0.3378 (multiplicity 18)
Se 0.0000 0.0000 0.5000 (multiplicity 3)
Br 0.0241 0.5875 0.1645 (multiplicity 18)
Br 0.0513 0.1876 0.8436 (multiplicity 18)

- total energy (eV per atom) = -4.556



A plane-wave DFT calculation with PBE-GGA was carried out for an optimized crystal structure of Pm4SiBr5.

abc: 18.6491 4.1527 8.6115
angles: 90.00 103.38 90.00
Space group C2/m (No. 12)
One atom of each set of equivalent atoms:
Pm 0.0005 0.0000 0.2245 (multiplicity 4)
Pm 0.1516 0.5000 0.0813 (multiplicity 4)
Si 0.0000 0.5000 0.0000 (multiplicity 2)
Br 0.0000 0.5000 0.5000 (multiplicity 2)
Br 0.1668 0.0000 0.3315 (multiplicity 4)
Br 0.1707 0.0000 0.8397 (multiplicity 4)

- total energy (eV per atom) = -4.795